No. 1
! NaLa2Te, relaxed, DFT PBE; values from VASP
! Space group: P4/mmm (123)
! Calculated total energy, eV per cell: -16.5
&SYSTEM
  ibrav = 0, nat = 4, ntyp = 3
/
ATOMIC_SPECIES
Na 22.99 Na.upf
Te 127.60 Te.upf
La 138.91 La.upf
ATOMIC_POSITIONS angstrom
Na -3.4832 1.8587 2.7880
Te -1.5494 -1.3983 2.0146
La -2.9790 5.0174 1.1914
La -0.8887 1.4967 0.3554
CELL_PARAMETERS angstrom
-3.5264 -2.0961 0.0098
0.4275 -0.7006 4.0194
-3.8676 6.5141 1.5469

=====

No. 2
! MgCu2GeIr, relaxed, DFT PBE; values from VASP
! Space group: P4/mmm (123)
! Energy relative to the elements, meV/atom: 916
&SYSTEM
  ibrav = 0, nat = 5, ntyp = 4
/
ATOMIC_SPECIES
Ge 72.64 Ge.upf
Ir 192.22 Ir.upf
Mg 24.30 Mg.upf
Cu 63.55 Cu.upf
ATOMIC_POSITIONS angstrom
Ge 0.0000 0.0000 0.0000
Ir 1.0790 -3.5931 1.1029
Mg 0.2773 -1.9543 -1.3797
Cu 1.8776 -0.4468 1.0104
Cu -1.0759 -1.1920 1.4722
CELL_PARAMETERS angstrom
-2.1518 -2.3840 2.9444
0.5547 -3.9086 -2.7593
3.7551 -0.8937 2.0207

=====

No. 3
! Na3HfTe4, relaxed, DFT PBE; values from VASP
! Space group: Cmmm (65)
! Calculated total energy, eV per cell: -32.7
&SYSTEM
  ibrav = 0, nat = 8, ntyp = 3
/
ATOMIC_SPECIES
Na 22.99 Na.upf
Hf 178.49 Hf.upf
Te 127.60 Te.upf
ATOMIC_POSITIONS angstrom
Na 0.0000 -1.1556 3.7424
Na 2.0814 2.7603 3.8257
Na 0.0000 3.9159 0.0833
Hf 2.0814 0.0000 0.0000
Te 0.0000 1.1975 1.6597
Te 2.0814 5.4859 1.8591
Te 0.0000 4.3231 5.9917
Te 2.0814 0.0347 5.7923
CELL_PARAMETERS angstrom
4.1627 0.0000 0.0000
0.0000 7.8317 0.1666
0.0000 -2.3111 7.4848

=====

No. 4
! Cs8Pt2I3, relaxed, DFT PBE; values from VASP
! Space group: C2/m (12)
! Calculated total energy, eV per cell: -32.2
&SYSTEM
  ibrav = 0, nat = 13, ntyp = 3
/
ATOMIC_SPECIES
Cs 132.91 Cs.upf
Pt 195.08 Pt.upf
I 126.90 I.upf
ATOMIC_POSITIONS angstrom
Cs -0.1743 -4.8268 5.3105
Cs -4.1620 -6.1270 -4.2539
Cs 3.1248 -7.6115 2.5288
Cs -7.4611 -3.3423 -1.4721
Cs 0.3014 -7.5183 -3.8968
Cs -1.9056 -3.9773 -0.7507
Cs -2.4307 -6.9765 1.8073
Cs -4.6377 -3.4355 4.9534
Pt -2.3936 -7.3341 -1.6547
Pt -1.9427 -3.6197 2.7114
I -4.0699 -0.9180 -1.8218
I 1.1312 -1.8150 -1.6126
I 3.0542 -4.9004 -4.3537
CELL_PARAMETERS angstrom
-8.1398 -1.8360 -3.6436
4.1854 -6.7154 -5.9663
-0.3819 -2.4024 10.6666

=====

No. 5
! LaTb2CeHo, relaxed, DFT PBE; values from VASP
! Space group: P2/c (13)
! Energy relative to the elements, meV/atom: 283
&SYSTEM
  ibrav = 0, nat = 10, ntyp = 4
/
ATOMIC_SPECIES
La 138.91 La.upf
Tb 158.93 Tb.upf
Ce 140.12 Ce.upf
Ho 164.93 Ho.upf
ATOMIC_POSITIONS angstrom
La 0.0000 0.0000 0.0000
La 0.0000 -0.6515 3.0008
Tb 4.2807 4.8388 5.5197
Tb 4.2807 1.6973 4.8086
Tb 1.9465 5.4903 2.5189
Tb 1.9465 2.3487 1.8078
Ce 3.3466 -0.3257 1.5004
Ce 2.8806 -0.9772 4.5012
Ho 1.0909 3.2680 5.1641
Ho 5.1364 3.9195 2.1634
CELL_PARAMETERS angstrom
6.2272 0.0000 0.0000
0.0000 8.4905 1.3259
0.0000 -1.3030 6.0016

=====

No. 6
! Th4Cd5Au2, relaxed, DFT PBE; values from VASP
! Space group: P2/m (10)
! Energy relative to the elements, meV/atom: -284
&SYSTEM
  ibrav = 0, nat = 11, ntyp = 3
/
ATOMIC_SPECIES
Th 232.04 Th.upf
Cd 112.41 Cd.upf
Au 196.97 Au.upf
ATOMIC_POSITIONS angstrom
Th 3.1342 0.2945 7.4828
Th -2.5793 1.5351 8.9068
Th -0.0349 -0.0040 5.3563
Th 5.6786 -1.2446 3.9323
Cd 3.0282 1.0041 4.1566
Cd 0.9208 0.5722 2.0526
Cd 3.7567 -0.0400 1.3563
Cd 2.6057 2.9351 9.6982
Cd 0.4983 2.5031 7.5942
Au -2.1210 2.2885 5.9315
Au 5.6475 1.2188 5.8193
CELL_PARAMETERS angstrom
-0.4272 -3.2168 1.0883
7.5135 -0.0801 2.7125
-3.9870 3.5874 9.0383

=====

No. 7
! LiAc2Al3, relaxed, DFT PBE; values from VASP
! Space group: Cm (8)
! Energy relative to the elements, meV/atom: -287
&SYSTEM
  ibrav = 0, nat = 6, ntyp = 3
/
ATOMIC_SPECIES
Li 6.94 Li.upf
Ac 227.00 Ac.upf
Al 26.98 Al.upf
ATOMIC_POSITIONS angstrom
Li 1.5953 2.1727 2.5069
Ac 2.8851 0.9409 5.7434
Ac 3.7102 4.3242 3.7733
Al 4.9889 3.1256 7.0363
Al 4.2359 1.1422 2.5179
Al 2.3759 4.1278 6.9593
CELL_PARAMETERS angstrom
4.5010 0.0000 1.8850
2.0885 5.5806 1.3292
0.0076 -0.3028 6.2981

=====

No. 8
! KZr2Fe, relaxed, DFT PBE; values from VASP
! Space group: P4mm (99)
! Energy relative to the elements, meV/atom: 438
! Relative energy among the computed polymorphs, eV/f.u.: 0.51
&SYSTEM
  ibrav = 0, nat = 4, ntyp = 3
/
ATOMIC_SPECIES
Fe 55.84 Fe.upf
K 39.10 K.upf
Zr 91.22 Zr.upf
ATOMIC_POSITIONS angstrom
Fe 0.0000 0.0000 3.8864
K 1.6906 1.6906 6.6181
Zr 0.0000 0.0000 0.7652
Zr 1.6906 1.6906 2.7303
CELL_PARAMETERS angstrom
3.3813 0.0000 0.0000
0.0000 3.3813 0.0000
0.0000 0.0000 9.3333

=====

No. 9
! Pm6TlIn5, relaxed, DFT PBE; values from VASP
! Space group: Immm (71)
! Energy relative to the elements, meV/atom: -475
! Relative energy among the computed polymorphs, eV/f.u.: 0.00
&SYSTEM
  ibrav = 0, nat = 12, ntyp = 3
/
ATOMIC_SPECIES
Tl 204.38 Tl.upf
In 114.82 In.upf
Pm 145.00 Pm.upf
ATOMIC_POSITIONS angstrom
Tl 0.0000 0.0000 0.0000
In 1.7869 0.9898 6.3767
In -1.2479 2.3376 5.0116
In 0.6309 3.6963 2.2445
In 2.5096 5.0550 -0.5226
In -0.5251 6.4028 -1.8877
Pm 0.8967 0.4882 3.1994
Pm 1.5271 4.1837 5.4435
Pm 2.7761 1.8477 0.4336
Pm -1.5143 5.5449 4.0554
Pm -0.2653 3.2089 -0.9545
Pm 0.3651 6.9044 1.2896
CELL_PARAMETERS angstrom
4.9200 -0.0041 -1.3790
-3.5726 7.7803 -3.2983
-0.0856 -0.3837 9.1663

=====

No. 10
! TcTe3I, relaxed, DFT PBE; values from VASP
! Space group: Pm-3m (221)
! Relative energy among the computed polymorphs, eV/f.u.: 0.00
&SYSTEM
  ibrav = 0, nat = 5, ntyp = 3
/
ATOMIC_SPECIES
I 126.90 I.upf
Te 127.60 Te.upf
Tc 98.00 Tc.upf
ATOMIC_POSITIONS angstrom
I -3.1235 -1.4564 3.0132
Te -2.1594 -1.4018 -0.5977
Te 0.4817 -1.6114 2.0388
Te -1.4458 1.5568 1.5720
Tc 0.0000 0.0000 0.0000
CELL_PARAMETERS angstrom
-2.8916 3.1137 3.1441
-4.3188 -2.8037 -1.1954
0.9634 -3.2227 4.0777

=====

No. 11
! TeMoCl2, relaxed, DFT PBE; values from VASP
! Space group: R-3m (166)
! Relative energy among the computed polymorphs, eV/f.u.: 0.73
&SYSTEM
  ibrav = 0, nat = 4, ntyp = 3
/
ATOMIC_SPECIES
Mo 95.94 Mo.upf
Te 127.60 Te.upf
Cl 35.45 Cl.upf
ATOMIC_POSITIONS angstrom
Mo 0.0000 0.0000 17.5902
Te 0.0000 0.0000 0.0000
Cl 0.0000 0.0000 31.0070
Cl 0.0000 0.0000 4.1734
CELL_PARAMETERS angstrom
1.8350 0.0000 11.7268
-0.9175 1.5891 11.7268
-0.9175 -1.5891 11.7268

=====

No. 12
! La3CoPb, relaxed, DFT PBE; values from VASP
! Space group: C2/m (12)
! Energy relative to the elements, meV/atom: -304
! Relative energy among the computed polymorphs, eV/f.u.: 0.45
&SYSTEM
  ibrav = 0, nat = 10, ntyp = 3
/
ATOMIC_SPECIES
Pb 207.20 Pb.upf
Co 58.93 Co.upf
La 138.91 La.upf
ATOMIC_POSITIONS angstrom
Pb 0.4101 -3.8661 5.3945
Pb -7.7755 -5.7928 9.9966
Co -11.5857 -7.8180 17.9840
Co 4.2202 -1.8408 -2.5930
La -4.0850 -5.5160 10.9877
La -3.2804 -4.1429 4.4034
La -6.5431 -6.4371 14.1439
La -0.8223 -3.2218 1.2471
La -5.4735 -4.9841 7.3199
La -1.8919 -4.6748 8.0712
CELL_PARAMETERS angstrom
-8.0583 -4.1969 16.4454
-4.6826 -4.0602 3.0540
5.3754 -1.4017 -4.1084

=====

No. 13
! NiMo2Os, relaxed, DFT PBE; values from VASP
! Space group: Cmmm (65)
! Energy relative to the elements, meV/atom: 28
! Relative energy among the computed polymorphs, eV/f.u.: 0.16
&SYSTEM
  ibrav = 0, nat = 4, ntyp = 3
/
ATOMIC_SPECIES
Ni 58.69 Ni.upf
Mo 95.94 Mo.upf
Os 190.23 Os.upf
ATOMIC_POSITIONS angstrom
Ni 1.0794 2.1904 1.1990
Mo 0.0000 0.0000 0.0000
Mo -0.2081 0.3044 2.6775
Os 1.4714 -1.5771 1.6578
CELL_PARAMETERS angstrom
-0.6002 4.0719 2.2187
0.1839 -3.4632 3.1362
2.7590 0.3089 0.1794

=====

No. 14
! DyErN, relaxed, DFT PBE; values from VASP
! Space group: Pnma (62)
! Relative energy among the computed polymorphs, eV/f.u.: 0.66
&SYSTEM
  ibrav = 0, nat = 12, ntyp = 3
/
ATOMIC_SPECIES
Dy 162.50 Dy.upf
N 14.01 N.upf
Er 167.26 Er.upf
ATOMIC_POSITIONS angstrom
Dy 0.8215 1.6923 13.1829
Dy 2.4646 1.3140 6.2164
Dy 2.4646 4.3204 0.7502
Dy 0.8215 4.6987 7.7167
N 0.8215 2.7030 1.3786
N 2.4646 3.3098 12.5545
N 0.8215 5.7094 5.5880
N 2.4646 0.3034 8.3451
Er 2.4646 4.5514 4.5611
Er 2.4646 1.5450 2.4054
Er 0.8215 4.4678 11.5276
Er 0.8215 1.4614 9.3719
CELL_PARAMETERS angstrom
3.2861 0.0000 0.0000
0.0000 6.0127 0.0000
0.0000 0.0000 13.9330

=====

No. 15
! ThNpOs, relaxed, DFT PBE; values from VASP
! Space group: Immm (71)
! Energy relative to the elements, meV/atom: 429
&SYSTEM
  ibrav = 0, nat = 6, ntyp = 3
/
ATOMIC_SPECIES
Th 232.04 Th.upf
Os 190.23 Os.upf
Np 237.00 Np.upf
ATOMIC_POSITIONS angstrom
Th 3.0606 0.0000 1.9004
Th 0.0000 1.6719 5.2277
Os 4.6507 1.6719 0.0000
Os 1.4705 1.6719 0.0000
Np 0.0000 1.6719 2.2691
Np 3.0606 0.0000 4.8589
CELL_PARAMETERS angstrom
6.1212 0.0000 0.0000
0.0000 3.3437 0.0000
-3.0606 -1.6719 7.1281

=====

No. 16
! SnCl, relaxed, DFT PBE; values from VASP
! Space group: P2_1/m (11)
! Calculated total energy, eV per cell: -13.9
&SYSTEM
  ibrav = 0, nat = 4, ntyp = 2
/
ATOMIC_SPECIES
Sn 118.71 Sn.upf
Cl 35.45 Cl.upf
ATOMIC_POSITIONS angstrom
Sn -1.8313 -5.8495 1.2122
Sn 0.4107 -3.6706 0.4189
Cl -1.6997 -2.5956 -0.8393
Cl 0.2791 -6.9245 2.4704
CELL_PARAMETERS angstrom
-3.0411 -1.4477 3.8388
-2.2864 -1.3768 -2.3305
3.9069 -6.6955 0.1227

=====

No. 17
! Nd6Y2Al, relaxed, DFT PBE; values from VASP
! Space group: C2/m (12)
! Energy relative to the elements, meV/atom: 68
&SYSTEM
  ibrav = 0, nat = 9, ntyp = 3
/
ATOMIC_SPECIES
Nd 144.24 Nd.upf
Y 88.91 Y.upf
Al 26.98 Al.upf
ATOMIC_POSITIONS angstrom
Nd -2.4326 1.6017 1.5230
Nd -5.8717 2.3920 -4.1930
Nd -7.3316 0.9181 1.7843
Nd -1.8179 -1.8636 2.0160
Nd -3.8926 0.1278 7.5003
Nd -2.7558 -2.8105 5.8560
Y -4.5120 -0.1960 3.9205
Y -5.2523 2.7157 -0.6132
Al 0.0000 0.0000 0.0000
CELL_PARAMETERS angstrom
-2.3629 -2.4422 -1.1793
-2.2108 -2.2319 9.0514
-5.1905 7.1939 -4.5648

=====

No. 18
! Nd2ZnSiNi6, relaxed, DFT PBE; values from VASP
! Space group: P-1 (2)
! Calculated total energy, eV per cell: -54.3
&SYSTEM
  ibrav = 0, nat = 10, ntyp = 4
/
ATOMIC_SPECIES
Nd 144.24 Nd.upf
Zn 65.41 Zn.upf
Si 28.09 Si.upf
Ni 58.69 Ni.upf
ATOMIC_POSITIONS angstrom
Nd -1.3623 -6.6261 0.2704
Nd -0.5327 -6.1191 -4.9690
Zn -1.9086 -3.5863 -1.4303
Si 0.0000 0.0000 0.0000
Ni 0.0446 -4.5315 -2.5583
Ni -2.0780 -5.7678 -2.4996
Ni -1.8604 -3.7378 -3.8698
Ni -0.0345 -9.0075 -0.8288
Ni 0.1831 -6.9775 -2.1990
Ni -1.9395 -8.2137 -2.1403
CELL_PARAMETERS angstrom
-2.3322 -4.8757 2.7229
-1.4849 -2.2969 -5.5834
1.9222 -5.5727 -1.8381

=====

No. 19
! PrTiRu2, relaxed, DFT PBE; values from VASP
! Space group: P4/mmm (123)
! Energy relative to the elements, meV/atom: -266
&SYSTEM
  ibrav = 0, nat = 4, ntyp = 3
/
ATOMIC_SPECIES
Pr 140.91 Pr.upf
Ru 101.07 Ru.upf
Ti 47.87 Ti.upf
ATOMIC_POSITIONS angstrom
Pr 1.6155 1.6155 3.4724
Ru 0.0000 0.0000 5.5104
Ru 0.0000 0.0000 1.4344
Ti 1.6155 1.6155 0.0000
CELL_PARAMETERS angstrom
3.2310 0.0000 0.0000
0.0000 3.2310 0.0000
0.0000 0.0000 6.9447

=====

No. 20
! La2HRhSe, relaxed, DFT PBE; values from VASP
! Space group: P4/mmm (123)
! Calculated total energy, eV per cell: -29.1
&SYSTEM
  ibrav = 0, nat = 5, ntyp = 4
/
ATOMIC_SPECIES
H 1.01 H.upf
Rh 102.91 Rh.upf
Se 78.96 Se.upf
La 138.91 La.upf
ATOMIC_POSITIONS angstrom
H 0.0000 0.0000 0.0000
Rh 0.0000 0.0000 1.8232
Se 2.6363 2.6363 1.8232
La 0.0000 2.6363 0.0000
La 2.6363 0.0000 0.0000
CELL_PARAMETERS angstrom
5.2727 0.0000 0.0000
0.0000 5.2727 0.0000
0.0000 0.0000 3.6464